1.
A geometry-optimized Na6Hg5Sb structure. Source: Alexandria, functional PBE.

It has space group C2/m (No. 12), with a = 9.356 Å, b = 15.812 Å, c = 5.164 Å, α = 90.00°, β = 123.38° and γ = 90.00°. The distinct sites, in fractional coordinates, are Na at (0.235, 0.000, 0.235), Na at (0.242, 0.161, 0.742), Hg at (0.000, 0.181, 0.000), Hg at (0.000, 0.335, 0.500), Hg at (0.000, 0.500, 0.000) and Sb at (0.000, 0.000, 0.500).

Its density of states at the Fermi level is 5.8 states/eV/cell. The calculated total energy comes out at -1.40 eV/atom. The formation energy without anion corrections is -3.3 eV per formula unit.



2.
A geometry-optimized Li3MoSe structure. Source: Alexandria, functional PBE.

It has space group Pm-3m (No. 221), with a = 4.844 Å, b = 4.844 Å, c = 4.844 Å, α = 90.00°, β = 90.00° and γ = 90.00°. The distinct sites, in fractional coordinates, are Li at (0.000, 0.000, 0.500), Mo at (0.500, 0.500, 0.500) and Se at (0.000, 0.000, 0.000).

The energy above the most stable polymorph in this dataset is 0 meV per atom. Its density of states at the Fermi level is 0.2 states/eV/cell. The calculated total energy comes out at -3.71 eV/atom. The formation energy without anion corrections is 1.5 eV per formula unit.



3.
A geometry-optimized CdIn5Ga2 structure. Source: Alexandria, functional PBE.

It has space group I4/mmm (No. 139), with a = 4.669 Å, b = 4.669 Å, c = 17.980 Å, α = 90.00°, β = 90.00° and γ = 90.00°. The distinct sites, in fractional coordinates, are Cd at (0.000, 0.000, 0.000), In at (0.000, 0.000, 0.500), In at (0.000, 0.500, 0.132) and Ga at (0.000, 0.000, 0.248).

Its density of states at the Fermi level is 8.6 states/eV/cell. The calculated total energy comes out at -2.54 eV/atom.



4.
A geometry-optimized HfSn3Rh4 structure. Source: Alexandria, functional PBE.

It has space group C2/m (No. 12), with a = 6.662 Å, b = 6.155 Å, c = 7.529 Å, α = 90.00°, β = 116.11° and γ = 90.00°. The distinct sites, in fractional coordinates, are Hf at (0.000, 0.000, 0.000), Sn at (0.000, 0.500, 0.000), Sn at (0.249, 0.000, 0.498) and Rh at (0.129, 0.250, 0.757).

Its density of states at the Fermi level is 8.9 states/eV/cell. The calculated total energy comes out at -6.98 eV/atom.



Which value of calculated total energy does entry 1 give?
-1.40 eV/atom



Which of these has the lowest calculated total energy?
HfSn3Rh4